[1]
VASP calculation (GGA-PBE) on a geometry-optimized TcRhBr2 structure.

Unit cell a=5.456 b=5.456 c=5.456 alpha=147.51 beta=118.55 gamma=71.25
Atoms (fractional coordinates):
Rh  0.750  0.250  0.500
Br  0.020  0.020  0.000
Tc  0.250  0.750  0.500
Br  0.480  0.480  0.000

Properties
energy relative to the elements, uncorrected = 801 meV per atom
space-group type = Immm



[2]
VASP calculation (GGA-PBE) on a geometry-optimized Pr4Ru structure.

Unit cell a=7.636 b=7.636 c=7.835 alpha=104.35 beta=104.35 gamma=119.42
Atoms (fractional coordinates):
Pr  0.681  0.441  0.660
Ru  0.236  0.236  0.000
Pr  0.781  0.021  0.340
Pr  0.275  0.519  0.339
Pr  0.179  0.935  0.661
Ru  0.486  0.986  0.500
Pr  0.691  0.431  0.160
Pr  0.271  0.531  0.840
Pr  0.769  0.025  0.839
Pr  0.185  0.929  0.161

Properties
ΔE_f = -0.060 eV/atom
space-group type = Fdd2



Number 1: density 7.9 Mg/m³, E above lowest polymorph 682 meV per atom. Number 2: density 6.4 Mg/m³, E above lowest polymorph 0 meV per atom.